1.
40
Lattice="5.801 0.000 0.000 -2.901 5.024 0.000 0.000 0.000 19.119" Properties=species:S:1:pos:R:3 comment="Ba4LiTa3O12 (PBE, optimized geometry)" energy_ev_per_cell=-327.0 magmom_total_mub_per_fu=0.00 mass_density_g_cm3=7.695 sg="No. 186" pbc="T T T"
Ba 0.000 0.000 0.000
Ba 0.000 0.000 9.560
Ba 0.000 3.349 2.688
Ba 0.000 3.349 6.989
Ba 0.000 3.349 14.210
Ba 2.901 1.675 4.651
Ba 2.901 1.675 12.248
Ba 2.901 1.675 16.548
Li 0.000 0.000 3.129
Li 0.000 0.000 12.688
Ta 0.000 0.000 5.847
Ta 0.000 0.000 15.406
Ta 0.000 3.349 10.760
Ta 0.000 3.349 17.892
Ta 2.901 1.675 1.200
Ta 2.901 1.675 8.333
O -1.442 2.517 18.997
O 0.000 1.608 4.842
O -1.508 4.220 4.842
O 0.000 1.696 16.734
O -1.432 4.176 16.734
O 0.000 1.735 11.764
O -1.398 4.156 11.764
O 1.392 0.804 14.401
O 1.469 0.848 7.174
O 1.503 0.868 2.204
O 1.442 2.517 18.997
O 0.000 5.014 18.997
O 2.901 0.010 9.437
O 1.459 2.507 9.437
O 1.398 4.156 11.764
O 1.432 4.176 16.734
O 1.508 4.220 4.842
O 4.298 0.868 2.204
O 2.901 3.289 2.204
O 4.332 0.848 7.174
O 2.901 3.328 7.174
O 4.409 0.804 14.401
O 2.901 3.416 14.401
O 4.342 2.507 9.437

***

2.
4
Lattice="0.000 3.340 3.340 3.340 0.000 3.340 3.340 3.340 0.000" Properties=species:S:1:pos:R:3 comment="BaLiReOs (PBE, optimized geometry)" magmom_total_mub_per_fu=0.00 mass_density_g_cm3=11.605 sg="No. 216" polymorph_energy_ev_per_atom=0.000 pbc="T T T"
Ba 0.000 0.000 0.000
Li 5.010 5.010 5.010
Re 1.670 1.670 1.670
Os 3.340 3.340 3.340

***

3.
4
Lattice="0.000 3.373 3.373 3.373 0.000 3.373 3.373 3.373 0.000" Properties=species:S:1:pos:R:3 comment="BaLiReOs (PBE, optimized geometry)" magmom_total_mub_per_fu=0.49 mass_density_g_cm3=11.267 sg="No. 216" polymorph_energy_ev_per_atom=0.106 pbc="T T T"
Ba 0.000 0.000 0.000
Li 1.686 1.686 1.686
Re 3.373 3.373 3.373
Os 5.059 5.059 5.059

***

4.
4
Lattice="0.000 3.328 3.328 3.328 0.000 3.328 3.328 3.328 0.000" Properties=species:S:1:pos:R:3 comment="BaLiReOs (PBE, optimized geometry)" magmom_total_mub_per_fu=0.92 mass_density_g_cm3=11.729 sg="No. 216" polymorph_energy_ev_per_atom=0.639 pbc="T T T"
Ba 0.000 0.000 0.000
Li 3.328 3.328 3.328
Re 4.992 4.992 4.992
Os 1.664 1.664 1.664

***

5.
5
Lattice="-2.067 2.067 6.038 2.067 -2.067 6.038 2.067 2.067 -6.038" Properties=species:S:1:pos:R:3 comment="BaLiZnP2 (PBE, optimized geometry)" energy_ev_per_cell=-19.3 mass_density_g_cm3=4.369 sg="No. 119" pbc="T T T"
Ba 0.000 0.000 0.000
Li 2.067 0.000 3.019
Zn 0.000 2.067 3.019
P 0.000 0.000 4.392
P 0.000 0.000 7.684

***

6.
5
Lattice="-2.183 2.183 5.628 2.183 -2.183 5.628 2.183 2.183 -5.628" Properties=species:S:1:pos:R:3 comment="BaLi2Pd2 (PBE, optimized geometry)" energy_ev_per_cell=-18.2 mass_density_g_cm3=5.633 sg="No. 139" pbc="T T T"
Ba 0.000 0.000 0.000
Li 2.183 0.000 2.814
Li 0.000 2.183 2.814
Pd 0.000 0.000 4.273
Pd 0.000 0.000 6.983

***

7.
6
Lattice="4.266 -5.199 0.000 4.266 5.199 0.000 0.000 0.000 4.052" Properties=species:S:1:pos:R:3 comment="BaLi4Pd (PBE, optimized geometry)" energy_ev_per_cell=-13.1 mass_density_g_cm3=2.509 sg="No. 65" pbc="T T T"
Ba 0.000 0.000 0.000
Li 4.266 2.349 2.026
Li 3.005 0.000 0.000
Li 5.528 0.000 0.000
Li 4.266 -2.349 2.026
Pd 4.266 0.000 2.026

***

8.
4
Lattice="0.000 3.683 3.683 3.683 0.000 3.683 3.683 3.683 0.000" Properties=species:S:1:pos:R:3 comment="BaLiSbPd (PBE, optimized geometry)" mass_density_g_cm3=6.188 sg="No. 216" polymorph_energy_ev_per_atom=0.161 pbc="T T T"
Ba 0.000 0.000 0.000
Li 1.842 1.842 1.842
Sb 5.525 5.525 5.525
Pd 3.683 3.683 3.683

***

9.
4
Lattice="0.000 3.795 3.795 3.795 0.000 3.795 3.795 3.795 0.000" Properties=species:S:1:pos:R:3 comment="BaLiSbPd (PBE, optimized geometry)" mass_density_g_cm3=5.659 sg="No. 216" polymorph_energy_ev_per_atom=0.260 pbc="T T T"
Ba 0.000 0.000 0.000
Li 3.795 3.795 3.795
Sb 1.897 1.897 1.897
Pd 5.692 5.692 5.692

***

10.
4
Lattice="0.000 3.624 3.624 3.624 0.000 3.624 3.624 3.624 0.000" Properties=species:S:1:pos:R:3 comment="BaLiSbPd (PBE, optimized geometry)" mass_density_g_cm3=6.499 sg="No. 216" polymorph_energy_ev_per_atom=0.000 pbc="T T T"
Ba 0.000 0.000 0.000
Li 5.436 5.436 5.436
Sb 3.624 3.624 3.624
Pd 1.812 1.812 1.812

***

11.
6
Lattice="4.726 0.000 0.000 -2.363 4.092 0.000 0.000 0.000 9.669" Properties=species:S:1:pos:R:3 comment="Ba2LiSb2Pd (PBE, optimized geometry)" energy_ev_per_cell=-24.6 mass_density_g_cm3=5.608 sg="No. 187" pbc="T T T"
Ba 0.000 0.000 2.418
Ba 0.000 0.000 7.252
Li 2.363 1.364 0.000
Sb 0.000 2.728 0.000
Sb 2.363 1.364 4.835
Pd 0.000 2.728 4.835

***

12.
8
Lattice="8.485 0.000 0.000 0.000 2.251 5.483 0.000 -2.251 5.483" Properties=species:S:1:pos:R:3 comment="BaLiTl4Pd2 (PBE, optimized geometry)" energy_ev_per_cell=-26.0 mass_density_g_cm3=9.316 sg="No. 38" pbc="T T T"
Ba 0.000 0.000 0.000
Li 4.242 0.000 1.440
Tl 1.855 0.000 7.748
Tl 2.652 0.000 4.576
Tl 5.833 0.000 4.576
Tl 6.630 0.000 7.748
Pd 0.000 0.000 3.120
Pd 4.242 0.000 9.336

***

13.
8
Lattice="4.480 0.000 0.000 0.000 8.487 0.000 -2.234 0.000 5.501" Properties=species:S:1:pos:R:3 comment="BaLiTl4Pd2 (PBE, optimized geometry)" energy_ev_per_cell=-26.0 mass_density_g_cm3=9.325 sg="No. 6" pbc="T T T"
Ba 0.000 0.000 0.000
Li 2.242 4.243 4.111
Tl 0.003 1.854 3.232
Tl 0.003 6.633 3.232
Tl 2.242 2.645 0.913
Tl 2.242 5.842 0.913
Pd 0.002 4.243 1.648
Pd 2.242 0.000 2.377